A plane-wave DFT calculation with PBE+U was carried out for LaZn2MoF after structural relaxation.

Output
For the electronic total energy, the calculation gives -3.573 eV/atom.

Unit cell a=5.3296 b=5.3296 c=4.1582 alpha=90.00 beta=90.00 gamma=90.00
Last column: nearest neighbours and their distance in Å.
Space group P4/mmm (No. 123)
Asymmetric unit:
La  0.0000  0.0000  0.0000 [1 per cell]  8 Zn 3.38, 4 F 3.77
Zn  0.0000  0.5000  0.5000 [2 per cell]  2 Mo 2.66
Mo  0.5000  0.5000  0.5000 [1 per cell]  2 F 2.08
F  0.5000  0.5000  0.0000 [1 per cell]  2 Mo 2.08